No. 1
VASP calculation (PBE) on a relaxed Pr5Se4Cl crystal.

Output
For the calculated density, the calculation gives 6.44 g/cm³. As for the space-group type: I4. The spin magnetization is 0.0 μB per formula unit. The calculation puts the energy at -5.712 eV/atom. For the volume, the calculation gives 27.21 A^3/atom. Its raw formation energy is -1.74 eV per atom.

abc: 5.9979 7.3728 7.3728
angles: 80.48 66.00 66.00
With the nearest neighbours (Å) after each atom.
Sites, in units of the cell vectors:
Pr (0.6851, 0.2156, 0.4158)  5 Se 2.95-3.01, 1 Cl 3.15
Se (0.7971, 0.8109, 0.5965)  6 Pr 2.95-3.01
Pr (0.1008, 0.5842, 0.2156)  5 Se 2.95-3.01, 1 Cl 3.15
Se (0.6080, 0.5965, 0.1891)  6 Pr 2.95-3.01
Pr (0.9007, 0.4158, 0.7844)  5 Se 2.95-3.01, 1 Cl 3.15
Pr (0.3165, 0.7844, 0.5842)  5 Se 2.95-3.01, 1 Cl 3.15
Pr (0.5021, 0.0000, 0.0000)  2 Cl 3.00, 4 Se 3.00
Cl (0.0020, 0.0000, 0.0000)  6 Pr 3.00-3.15
Se (0.2045, 0.1891, 0.4035)  6 Pr 2.95-3.01
Se (0.3936, 0.4035, 0.8109)  6 Pr 2.95-3.01


No. 2
VASP calculation (PBE) on a relaxed Pr2SeCl3 crystal.

Output
For the calculated density, the calculation gives 3.93 g/cm³. As for the space-group type: C2/m. The spin magnetization is 0.0 μB per formula unit. The calculation puts the energy at -5.102 eV/atom. For the volume, the calculation gives 32.87 A^3/atom. Its raw formation energy is -2.00 eV per atom.

abc: 4.3806 8.5750 11.1495
angles: 80.85 78.67 75.20
With the nearest neighbours (Å) after each atom.
Sites, in units of the cell vectors:
Pr (0.8732, 0.4190, 0.8347)  4 Cl 2.76-2.98, 2 Se 2.87
Cl (0.3358, 0.3171, 0.0112)  3 Pr 2.91-2.98
Pr (0.6051, 0.2371, 0.5528)  5 Cl 2.89-3.00, 2 Se 2.97-3.06
Cl (0.7689, 0.8731, 0.5890)  3 Pr 2.89-3.00
Cl (0.6642, 0.6829, 0.9888)  3 Pr 2.91-2.98
Pr (0.3949, 0.7629, 0.4472)  5 Cl 2.89-3.00, 2 Se 2.97-3.06
Pr (0.1268, 0.5810, 0.1653)  4 Cl 2.76-2.98, 2 Se 2.87
Se (0.6141, 0.4550, 0.3169)  4 Pr 2.87-3.06
Cl (0.9304, 0.8656, 0.2735)  3 Pr 2.76-2.96
Cl (0.0696, 0.1344, 0.7265)  3 Pr 2.76-2.96
Cl (0.2311, 0.1269, 0.4110)  3 Pr 2.89-3.00
Se (0.3859, 0.5450, 0.6831)  4 Pr 2.87-3.06


No. 3
VASP calculation (PBE) on a relaxed Pr4Se5Cl crystal.

Output
For the calculated density, the calculation gives 5.06 g/cm³. As for the space-group type: Pmmn. The spin magnetization is 1.0 μB per formula unit. The calculation puts the energy at -5.575 eV/atom. For the volume, the calculation gives 32.61 A^3/atom. Its raw formation energy is -1.74 eV per atom.

abc: 7.1926 9.2729 9.7789
angles: 90.00 90.00 90.00
With the nearest neighbours (Å) after each atom.
Sites, in units of the cell vectors:
Se (0.7469, 0.7768, 0.7042)  4 Pr 2.95-3.23
Pr (0.0503, 0.0000, 0.7534)  5 Se 2.88-3.05, 1 Cl 2.90
Se (0.7469, 0.7768, 0.2958)  4 Pr 2.95-3.23
Pr (0.4516, 0.7282, 0.5000)  5 Se 2.89-3.23, 1 Cl 2.91
Se (0.2531, 0.2768, 0.7958)  4 Pr 2.95-3.23
Se (0.7457, 0.5000, 0.0000)  4 Pr 2.88-2.89
Cl (0.8261, 0.0000, 0.0000)  4 Pr 2.90-2.91
Pr (0.0503, 0.0000, 0.2466)  5 Se 2.88-3.05, 1 Cl 2.90
Pr (0.4516, 0.2718, 0.5000)  5 Se 2.89-3.23, 1 Cl 2.91
Pr (0.9497, 0.5000, 0.7466)  5 Se 2.88-3.05, 1 Cl 2.90
Se (0.2531, 0.2768, 0.2042)  4 Pr 2.95-3.23
Pr (0.5484, 0.2282, 0.0000)  5 Se 2.89-3.23, 1 Cl 2.91
Cl (0.1739, 0.5000, 0.5000)  4 Pr 2.90-2.91
Se (0.2531, 0.7232, 0.7958)  4 Pr 2.95-3.23
Se (0.7469, 0.2232, 0.2958)  4 Pr 2.95-3.23
Se (0.2531, 0.7232, 0.2042)  4 Pr 2.95-3.23
Pr (0.5484, 0.7718, 0.0000)  5 Se 2.89-3.23, 1 Cl 2.91
Se (0.7469, 0.2232, 0.7042)  4 Pr 2.95-3.23
Se (0.2543, 0.0000, 0.5000)  4 Pr 2.88-2.89
Pr (0.9497, 0.5000, 0.2534)  5 Se 2.88-3.05, 1 Cl 2.90


raw formation energy of number 3 (Pr4Se5Cl)? -1.74 eV per atom